(1)
Below is crystalline ZrSc2CoCl at its relaxed geometry, with properties calculated at the PBE-GGA level.

Values from the calculation:
Space group ... P4/mmm
E_form (uncorrected) ... -0.073 eV per atom
DOS(E_F) ... 0.765 states/eV per atom
Total moment ... 0.0000 μB/atom

Unit cell a=4.969 b=4.969 c=4.746 alpha=90.00 beta=90.00 gamma=90.00
Atoms (fractional coordinates):
Zr 0.000 0.000 0.000
Sc 0.000 0.500 0.500
Sc 0.500 0.000 0.500
Co 0.000 0.000 0.500
Cl 0.500 0.500 0.000

---

(2)
Below is crystalline NaLiAg2F8 at its relaxed geometry, with properties calculated at the PBE-GGA level.

Values from the calculation:
Space group ... I-4m2
E_form (uncorrected) ... -1.499 eV per atom
DOS(E_F) ... 0.321 states/eV per atom
Total moment ... 0.3364 μB/atom

Unit cell a=6.490 b=6.490 c=6.490 alpha=131.77 beta=131.77 gamma=70.59
Atoms (fractional coordinates):
Na 0.000 0.000 0.000
Li 0.750 0.250 0.500
Ag 0.250 0.750 0.500
Ag 0.500 0.500 0.000
F 0.132 0.129 0.516
F 0.132 0.616 0.003
F 0.384 0.388 0.516
F 0.384 0.868 0.997
F 0.612 0.129 0.997
F 0.612 0.616 0.484
F 0.871 0.388 0.003
F 0.871 0.868 0.484

---

(3)
Below is crystalline YOsN2F at its relaxed geometry, with properties calculated at the PBE-GGA level.

Values from the calculation:
Space group ... P4/mmm
E_form (uncorrected) ... 0.888 eV per atom
E above lowest polymorph ... 1.420 eV/atom
DOS(E_F) ... 0.886 states/eV per atom
Total moment ... 0.6910 μB/atom

Unit cell a=4.479 b=4.479 c=4.127 alpha=90.00 beta=90.00 gamma=90.00
Atoms (fractional coordinates):
Y 0.000 0.000 0.000
Os 0.500 0.500 0.500
N 0.000 0.500 0.000
N 0.500 0.000 0.000
F 0.000 0.000 0.500